Version a
Below is crystalline Sc2Bi2Pb at its relaxed geometry, with properties calculated at the GGA-PBE level.

Structure (POSCAR):
```
Sc2Bi2Pb
1.0
8.075 0.000 0.000
0.000 8.075 0.000
0.000 0.000 4.114
Sc Bi Pb
4 4 2
Direct
0.148 0.352 0.000
0.352 0.852 0.000
0.648 0.148 0.000
0.852 0.648 0.000
0.159 0.659 0.500
0.341 0.159 0.500
0.659 0.841 0.500
0.841 0.341 0.500
0.000 0.000 0.000
0.500 0.500 0.000
```



Version b
Below is crystalline Sc2Bi2Pb at its relaxed geometry, with properties calculated at the GGA-PBE level.

Structure (POSCAR):
```
Sc2Bi2Pb
1.0
8.485 0.000 0.000
0.000 8.485 0.000
0.000 0.000 3.902
Sc Bi Pb
4 4 2
Direct
0.142 0.358 0.000
0.358 0.858 0.000
0.642 0.142 0.000
0.858 0.642 0.000
0.151 0.651 0.500
0.349 0.151 0.500
0.651 0.849 0.500
0.849 0.349 0.500
0.000 0.000 0.500
0.500 0.500 0.500
```



Result of the stability comparison: version b is the least stable of them.



Version a
Below is crystalline ScBiPb3 at its relaxed geometry, with properties calculated at the GGA-PBE level.

Structure (POSCAR):
```
ScBiPb3
1.0
5.625 0.000 0.000
0.000 5.625 0.000
0.000 0.000 5.625
Sc Bi Pb
1 1 3
Direct
0.000 0.000 0.000
0.500 0.500 0.500
0.000 0.000 0.500
0.000 0.500 0.000
0.500 0.000 0.000
```



Version b
Below is crystalline ScBiPb3 at its relaxed geometry, with properties calculated at the GGA-PBE level.

Structure (POSCAR):
```
ScBiPb3
1.0
5.934 0.000 0.000
0.000 5.934 0.000
0.000 0.000 5.934
Sc Bi Pb
1 1 3
Direct
0.000 0.000 0.000
0.500 0.500 0.500
0.000 0.500 0.500
0.500 0.000 0.500
0.500 0.500 0.000
```



Result of the stability comparison: version b is the least stable of them.



Version a
Below is crystalline BiPb2Se at its relaxed geometry, with properties calculated at the GGA-PBE level.

Structure (POSCAR):
```
BiPb2Se
1.0
-3.399 3.399 7.487
3.399 -3.399 7.487
3.399 3.399 -7.487
Bi Pb Se
2 4 2
Direct
0.000 0.000 0.000
0.750 0.250 0.500
0.151 0.625 0.026
0.375 0.401 0.526
0.599 0.125 0.974
0.875 0.849 0.474
0.250 0.750 0.500
0.500 0.500 0.000
```



Version b
Below is crystalline BiPb2Se at its relaxed geometry, with properties calculated at the GGA-PBE level.

Structure (POSCAR):
```
BiPb2Se
1.0
2.076 1.199 8.767
-2.076 1.199 8.767
0.000 -2.397 8.767
Bi Pb Se
1 2 1
Direct
0.000 0.000 0.000
0.566 0.566 0.566
0.750 0.750 0.750
0.168 0.168 0.168
```



Version c
Below is crystalline BiPb2Se at its relaxed geometry, with properties calculated at the GGA-PBE level.

Structure (POSCAR):
```
BiPb2Se
1.0
0.000 3.893 3.893
3.893 0.000 3.893
3.893 3.893 0.000
Bi Pb Se
1 2 1
Direct
0.000 0.000 0.000
0.250 0.250 0.250
0.750 0.750 0.750
0.500 0.500 0.500
```



Version d
Below is crystalline BiPb2Se at its relaxed geometry, with properties calculated at the GGA-PBE level.

Structure (POSCAR):
```
BiPb2Se
1.0
6.318 0.000 0.000
0.000 6.596 0.000
-6.143 0.000 12.571
Bi Pb Se
4 8 4
Direct
0.103 0.140 0.107
0.103 0.860 0.607
0.897 0.140 0.393
0.897 0.860 0.893
0.143 0.350 0.634
0.143 0.650 0.134
0.387 0.253 0.383
0.387 0.747 0.883
0.613 0.253 0.117
0.613 0.747 0.617
0.857 0.350 0.866
0.857 0.650 0.366
0.379 0.305 0.876
0.379 0.695 0.376
0.621 0.305 0.624
0.621 0.695 0.124
```



Result of the stability comparison: version a is the least stable of them.



Version a
Below is crystalline Bi2PbSe2 at its relaxed geometry, with properties calculated at the GGA-PBE level.

Structure (POSCAR):
```
Bi2PbSe2
1.0
-2.883 2.883 4.867
2.883 -2.883 4.867
2.883 2.883 -4.867
Bi Pb Se
2 1 2
Direct
0.169 0.169 0.000
0.831 0.831 0.000
0.500 0.500 0.000
0.250 0.750 0.500
0.750 0.250 0.500
```



Version b
Below is crystalline Bi2PbSe2 at its relaxed geometry, with properties calculated at the GGA-PBE level.

Structure (POSCAR):
```
Bi2PbSe2
1.0
-2.164 2.164 8.231
2.164 -2.164 8.231
2.164 2.164 -8.231
Bi Pb Se
2 1 2
Direct
0.250 0.750 0.500
0.750 0.250 0.500
0.000 0.000 0.000
0.409 0.409 0.000
0.591 0.591 0.000
```



Version c
Below is crystalline Bi2PbSe2 at its relaxed geometry, with properties calculated at the GGA-PBE level.

Structure (POSCAR):
```
Bi2PbSe2
1.0
8.681 0.000 0.000
0.000 8.681 0.000
0.000 0.000 3.836
Bi Pb Se
4 2 4
Direct
0.178 0.322 0.000
0.322 0.822 0.000
0.678 0.178 0.000
0.822 0.678 0.000
0.000 0.000 0.500
0.500 0.500 0.500
0.148 0.648 0.500
0.352 0.148 0.500
0.648 0.852 0.500
0.852 0.352 0.500
```



Version d
Below is crystalline Bi2PbSe2 at its relaxed geometry, with properties calculated at the GGA-PBE level.

Structure (POSCAR):
```
Bi2PbSe2
1.0
8.659 0.000 0.000
0.000 8.659 0.000
0.000 0.000 3.864
Bi Pb Se
4 2 4
Direct
0.155 0.345 0.000
0.345 0.845 0.000
0.655 0.155 0.000
0.845 0.655 0.000
0.000 0.000 0.000
0.500 0.500 0.000
0.169 0.669 0.500
0.331 0.169 0.500
0.669 0.831 0.500
0.831 0.331 0.500
```



Result of the stability comparison: version b is the least stable of them.



Version a
Below is crystalline Bi3PbSe at its relaxed geometry, with properties calculated at the GGA-PBE level.

Structure (POSCAR):
```
Bi3PbSe
1.0
5.894 0.000 0.000
0.000 5.894 0.000
0.000 0.000 5.894
Bi Pb Se
3 1 1
Direct
0.000 0.000 0.500
0.000 0.500 0.000
0.500 0.000 0.000
0.000 0.000 0.000
0.500 0.500 0.500
```



Version b
Below is crystalline Bi3PbSe at its relaxed geometry, with properties calculated at the GGA-PBE level.

Structure (POSCAR):
```
Bi3PbSe
1.0
5.612 0.000 0.000
0.000 5.612 0.000
0.000 0.000 5.612
Bi Pb Se
3 1 1
Direct
0.000 0.000 0.500
0.000 0.500 0.000
0.500 0.000 0.000
0.500 0.500 0.500
0.000 0.000 0.000
```



Result of the stability comparison: version a is the least stable of them.



Version a
Below is crystalline Bi2PbSe4 at its relaxed geometry, with properties calculated at the GGA-PBE level.

Structure (POSCAR):
```
Bi2PbSe4
1.0
2.104 -6.949 0.000
2.104 6.949 0.000
0.000 0.000 14.439
Bi Pb Se
4 2 8
Direct
0.138 0.862 0.565
0.138 0.862 0.935
0.862 0.138 0.065
0.862 0.138 0.435
0.404 0.596 0.750
0.596 0.404 0.250
0.048 0.952 0.750
0.227 0.773 0.119
0.227 0.773 0.381
0.500 0.500 0.000
0.500 0.500 0.500
0.773 0.227 0.619
0.773 0.227 0.881
0.952 0.048 0.250
```



Version b
Below is crystalline Bi2PbSe4 at its relaxed geometry, with properties calculated at the GGA-PBE level.

Structure (POSCAR):
```
Bi2PbSe4
1.0
2.118 1.223 13.870
-2.118 1.223 13.870
0.000 -2.446 13.870
Bi Pb Se
2 1 4
Direct
0.075 0.075 0.075
0.925 0.925 0.925
0.500 0.500 0.500
0.211 0.211 0.211
0.372 0.372 0.372
0.628 0.628 0.628
0.789 0.789 0.789
```



Result of the stability comparison: version a is the least stable of them.